[1]
First-principles (meta-GGA SCAN) data for a PBEsol-optimized structure of CaFeO2, as listed in Alexandria.

```
CaFeO2
1.0
3.173 0.000 0.000
0.000 3.774 0.000
0.000 0.000 3.774
Fe O Ca
1 2 1
Direct
0.000 0.000 0.000
0.000 0.500 0.000
0.000 0.000 0.500
0.500 0.500 0.500
```

- Crystal system: tetragonal
- Symmetry: P4/mmm (123)

---

[2]
First-principles (meta-GGA SCAN) data for a PBEsol-optimized structure of CaFe2O4, as listed in Alexandria.

```
CaFe2O4
1.0
5.955 0.000 0.000
2.978 5.157 0.000
2.978 1.719 4.862
Ca Fe O
2 4 8
Direct
0.500 0.500 0.500
0.750 0.750 0.750
0.125 0.125 0.125
0.125 0.125 0.625
0.125 0.625 0.125
0.625 0.125 0.125
0.353 0.941 0.353
0.941 0.353 0.353
0.897 0.309 0.897
0.309 0.897 0.897
0.897 0.897 0.309
0.353 0.353 0.941
0.897 0.897 0.897
0.353 0.353 0.353
```

- Offset from the most stable computed form: 182.0 meV per atom
- Crystal system: cubic
- Symmetry: Fd-3m (227)

---

Formation energy without anion corrections values (in eV per formula unit) by entry order: -9.1, -13.3.